# 1
First-principles (GGA-PBE) data for TaAlCd2 after structural relaxation, as listed in the Alexandria database.

a = 2.9120 Å, b = 2.9120 Å, c = 9.2218 Å
α = 90.00°, β = 90.00°, γ = 90.26°
Last column: nearest neighbours and their distance in Å.
Fractional coordinates of all 4 atoms:
1 Ta 0.0000 0.0000 0.0000  4 Ta 2.91, 8 Cd 3.07-3.08
2 Al 0.0000 0.0000 0.5000  4 Al 2.91, 8 Cd 3.11
3 Cd 0.5000 0.5000 0.2474  4 Cd 2.91, 4 Ta 3.07-3.08, 4 Al 3.11
4 Cd 0.5000 0.5000 0.7526  4 Cd 2.91, 4 Ta 3.07-3.08, 4 Al 3.11

Values from the calculation:
E_tot (eV/atom): -4.08
M_tot (μB/f.u.): 0.00
DFT formation energy (eV/atom): 0.28
Theoretical density (g cm⁻³): 9.2

=====

# 2
First-principles (GGA-PBE) data for Zr4InRe after structural relaxation, as listed in the Alexandria database.

a = 5.6347 Å, b = 5.6347 Å, c = 5.6347 Å
α = 60.00°, β = 60.00°, γ = 60.00°
Last column: nearest neighbours and their distance in Å.
Fractional coordinates of all 6 atoms:
1 Zr 0.3770 0.3770 0.3770  6 Zr 2.77-2.86
2 Zr 0.3770 0.3770 0.8689  6 Zr 2.77-2.86
3 Zr 0.3770 0.8689 0.3770  6 Zr 2.77-2.86
4 Zr 0.8689 0.3770 0.3770  6 Zr 2.77-2.86
5 In 0.0000 0.0000 0.0000  12 Zr 3.31, 4 Re 3.45
6 Re 0.7500 0.7500 0.7500  12 Zr 3.30, 4 In 3.45

Values from the calculation:
Energy above the most stable polymorph in this dataset (eV per atom): 0.337
E_tot (eV/atom): -7.77
M_tot (μB/f.u.): 0.00
DFT formation energy (eV/atom): 0.46
Theoretical density (g cm⁻³): 8.7

=====

# 3
First-principles (GGA-PBE) data for SrGaSbO5 after structural relaxation, as listed in the Alexandria database.

a = 5.8489 Å, b = 5.8489 Å, c = 7.4864 Å
α = 104.37°, β = 104.37°, γ = 106.69°
Last column: nearest neighbours and their distance in Å.
Fractional coordinates of all 16 atoms:
1 Sr 0.1660 0.8340 0.7500  7 O 2.47-2.72
2 Sr 0.8340 0.1660 0.2500  7 O 2.47-2.72
3 Ga 0.1898 0.8102 0.2500  4 O 1.87-1.88
4 Ga 0.8102 0.1898 0.7500  4 O 1.87-1.88
5 Sb 0.5000 0.5000 0.0000  6 O 1.99-2.03
6 Sb 0.5000 0.5000 0.5000  6 O 1.99-2.03
7 O 0.1380 0.2566 0.9167  1 Ga 1.88, 1 Sb 2.02
8 O 0.2014 0.6006 0.4009  1 Ga 1.87, 1 Sb 2.03
9 O 0.2566 0.1380 0.4167  1 Ga 1.88, 1 Sb 2.02
10 O 0.3994 0.7986 0.0991  1 Ga 1.87, 1 Sb 2.03
11 O 0.4290 0.5710 0.7500  2 Sb 1.99
12 O 0.5710 0.4290 0.2500  2 Sb 1.99
13 O 0.6006 0.2014 0.9009  1 Ga 1.87, 1 Sb 2.03
14 O 0.7434 0.8620 0.5833  1 Ga 1.88, 1 Sb 2.02
15 O 0.7986 0.3994 0.5991  1 Ga 1.87, 1 Sb 2.03
16 O 0.8620 0.7434 0.0833  1 Ga 1.88, 1 Sb 2.02

Values from the calculation:
E_tot (eV/atom): -6.26
ΔE_f (raw) (eV/atom): -2.057
M_tot (μB/f.u.): 0.00
Theoretical density (g cm⁻³): 5.3

=====

# 4
First-principles (GGA-PBE) data for MnV12Ga3 after structural relaxation, as listed in the Alexandria database.

a = 4.7403 Å, b = 4.7590 Å, c = 9.5022 Å
α = 90.00°, β = 90.00°, γ = 90.00°
Last column: nearest neighbours and their distance in Å.
Fractional coordinates of all 16 atoms:
1 Mn 0.0000 0.0000 0.0000  12 V 2.57-2.64
2 V 0.0000 0.2421 0.2415  2 V 2.30-2.45, 1 Mn 2.57
3 V 0.0000 0.2421 0.7585  2 V 2.30-2.45, 1 Mn 2.57
4 V 0.0000 0.7579 0.2415  2 V 2.30-2.45, 1 Mn 2.57
5 V 0.0000 0.7579 0.7585  2 V 2.30-2.45, 1 Mn 2.57
6 V 0.2426 0.5000 0.0000  2 V 2.30-2.44
7 V 0.2521 0.5000 0.5000  2 V 2.35-2.39
8 V 0.5000 0.0000 0.1174  2 V 2.23-2.41
9 V 0.5000 0.0000 0.3708  2 V 2.41-2.46, 4 Ga 2.64-2.67
10 V 0.5000 0.0000 0.6292  2 V 2.41-2.46, 4 Ga 2.64-2.67
11 V 0.5000 0.0000 0.8826  2 V 2.23-2.41
12 V 0.7479 0.5000 0.5000  2 V 2.35-2.39
13 V 0.7574 0.5000 0.0000  2 V 2.30-2.44
14 Ga 0.0000 0.0000 0.5000  12 V 2.66-2.71
15 Ga 0.5000 0.5000 0.2495  12 V 2.64-2.69
16 Ga 0.5000 0.5000 0.7505  12 V 2.64-2.69

Values from the calculation:
E_tot (eV/atom): -8.16
M_tot (μB/f.u.): 0.00
DFT formation energy (eV/atom): -0.18
Theoretical density (g cm⁻³): 6.8

=====

# 5
First-principles (GGA-PBE) data for HgSIO4 after structural relaxation, as listed in the Alexandria database.

a = 7.5174 Å, b = 7.5174 Å, c = 5.9097 Å
α = 103.86°, β = 103.86°, γ = 61.79°
Last column: nearest neighbours and their distance in Å.
Fractional coordinates of all 14 atoms:
1 Hg 0.1872 0.1872 0.3052  3 O 2.09-2.30
2 Hg 0.8128 0.8128 0.6948  3 O 2.09-2.30
3 S 0.1456 0.1456 0.7580  4 O 1.45-1.55
4 S 0.8544 0.8544 0.2420  4 O 1.45-1.55
5 I 0.4705 0.4705 0.7468  2 I 2.88-3.21
6 I 0.5295 0.5295 0.2532  2 I 2.88-3.21
7 O 0.0114 0.3232 0.6231  1 S 1.51
8 O 0.0399 0.0399 0.7993  1 S 1.45
9 O 0.2347 0.2347 0.9956  1 S 1.55
10 O 0.3232 0.0114 0.6231  1 S 1.51
11 O 0.6768 0.9886 0.3769  1 S 1.51
12 O 0.7653 0.7653 0.0044  1 S 1.55
13 O 0.9601 0.9601 0.2007  1 S 1.45
14 O 0.9886 0.6768 0.3769  1 S 1.51

Values from the calculation:
E_tot (eV/atom): -4.46
ΔE_f (raw) (eV/atom): -0.777
M_tot (μB/f.u.): 0.00
Theoretical density (g cm⁻³): 5.0

=====

# 6
First-principles (GGA-PBE) data for Tl7Hg2Bi2 after structural relaxation, as listed in the Alexandria database.

a = 8.8051 Å, b = 8.8051 Å, c = 8.8051 Å
α = 143.40°, β = 73.94°, γ = 118.28°
Last column: nearest neighbours and their distance in Å.
Fractional coordinates of all 11 atoms:
1 Tl 0.0000 0.0000 0.0000  1 Hg 3.26, 2 Bi 3.39, 6 Tl 3.47-3.53
2 Tl 0.1083 0.4615 0.6468  1 Hg 3.33, 3 Bi 3.35-3.43, 4 Tl 3.47-3.62
3 Tl 0.2233 0.8570 0.3663  3 Hg 3.34-3.41, 3 Bi 3.39-3.53, 2 Tl 3.58-3.71
4 Tl 0.4907 0.8570 0.6337  3 Hg 3.34-3.41, 3 Bi 3.39-3.53, 2 Tl 3.58-3.71
5 Tl 0.5356 0.6680 0.8676  3 Hg 3.33-3.34, 2 Bi 3.46, 4 Tl 3.53-3.73
6 Tl 0.8005 0.6680 0.1324  3 Hg 3.33-3.34, 2 Bi 3.46, 4 Tl 3.53-3.73
7 Tl 0.8147 0.4615 0.3532  1 Hg 3.33, 3 Bi 3.35-3.43, 4 Tl 3.47-3.62
8 Hg 0.3605 0.3605 0.0000  7 Tl 3.26-3.34, 2 Bi 3.60
9 Hg 0.6720 0.1720 0.5000  8 Tl 3.33-3.41
10 Bi 0.3742 0.1548 0.2194  9 Tl 3.35-3.53, 1 Hg 3.60
11 Bi 0.9353 0.1548 0.7806  9 Tl 3.35-3.53, 1 Hg 3.60

Values from the calculation:
Energy above the most stable polymorph in this dataset (eV per atom): 0.000
E_tot (eV/atom): -2.27
M_tot (μB/f.u.): 0.00
DFT formation energy (eV/atom): -0.01
Theoretical density (g cm⁻³): 10.6